## Er8Ge3As3S (PBE-GGA)

Data for a geometry-optimized Er8Ge3As3S structure.

Density = 8.0 g cm⁻³
Formation energy from raw total energies = -17.4 eV per formula unit

abc: 8.0745 8.0745 19.8777
angles: 90.00 90.00 120.00
Space group R-3m (No. 166, hexagonal axes)
Symmetry-distinct sites (fractional):
Er1 0.0000 0.0000 0.2491 [6 per cell]
Er2 0.0013 0.5007 0.7491 [18 per cell]
Ge1 0.0000 0.5000 0.0000 [9 per cell]
As1 0.0000 0.5000 0.5000 [9 per cell]
S1 0.0000 0.0000 0.0000 [3 per cell]



## Pu2CuBi (PBE-GGA)

Data for a geometry-optimized Pu2CuBi structure.

Density = 13.0 g cm⁻³
Energy above the lowest structure with this stoichiometry = 0.00 kcal/mol of atoms
Calculated formation energy = -0.354 eV per formula unit

abc: 4.601 4.601 4.580
angles: 90.00 90.00 90.00
Space group P4/mmm (No. 123)
Symmetry-distinct sites (fractional):
Pu1 0.000 0.500 0.000 [2 per cell]
Cu1 0.000 0.000 0.500 [1 per cell]
Bi1 0.500 0.500 0.500 [1 per cell]



## SmPuPbAu (PBE-GGA)

Data for a geometry-optimized SmPuPbAu structure.

Density = 12.3 g cm⁻³
Calculated formation energy = -1.646 eV per formula unit

abc: 7.565 7.565 7.565
angles: 90.00 90.00 90.00
Space group F-43m (No. 216)
Symmetry-distinct sites (fractional):
Sm1 0.000 0.000 0.000 [4 per cell]
Pu1 0.000 0.000 0.500 [4 per cell]
Pb1 0.250 0.250 0.750 [4 per cell]
Au1 0.250 0.250 0.250 [4 per cell]



## NdDyPd2 (PBE-GGA)

Data for a geometry-optimized NdDyPd2 structure.

Density = 9.5 g cm⁻³
Energy above the lowest structure with this stoichiometry = 1.16 kcal/mol of atoms
Calculated formation energy = -3.226 eV per formula unit

abc: 3.502 3.502 7.370
angles: 90.00 90.00 90.00
Space group P4/mmm (No. 123)
Symmetry-distinct sites (fractional):
Nd1 0.000 0.000 0.000 [1 per cell]
Dy1 0.000 0.000 0.500 [1 per cell]
Pd1 0.500 0.500 0.270 [2 per cell]



## DyScZnTc (PBE-GGA)

Data for a geometry-optimized DyScZnTc structure.

Density = 7.9 g cm⁻³
Calculated formation energy = -0.781 eV per formula unit

abc: 6.770 6.770 6.770
angles: 90.00 90.00 90.00
Space group F-43m (No. 216)
Symmetry-distinct sites (fractional):
Dy1 0.000 0.000 0.000 [4 per cell]
Sc1 0.000 0.000 0.500 [4 per cell]
Zn1 0.250 0.250 0.250 [4 per cell]
Tc1 0.250 0.250 0.750 [4 per cell]



## PrDySe2 (PBE-GGA)

Data for a geometry-optimized PrDySe2 structure.

Density = 7.5 g cm⁻³
Energy above the lowest structure with this stoichiometry = 0.00 kcal/mol of atoms
Formation energy from raw total energies = -7.2 eV per formula unit

abc: 7.146 4.139 7.342
angles: 90.00 109.06 90.00
Space group C2/m (No. 12)
Symmetry-distinct sites (fractional):
Pr1 0.000 0.000 0.000 [2 per cell]
Dy1 0.000 0.500 0.500 [2 per cell]
Se1 0.244 0.000 0.732 [4 per cell]



## NaTbCdSn (PBE-GGA)

Data for a geometry-optimized NaTbCdSn structure.

Density = 6.6 g cm⁻³
Calculated formation energy = -1.404 eV per formula unit

abc: 7.459 7.459 7.459
angles: 90.00 90.00 90.00
Space group F-43m (No. 216)
Symmetry-distinct sites (fractional):
Na1 0.000 0.000 0.000 [4 per cell]
Tb1 0.000 0.000 0.500 [4 per cell]
Cd1 0.250 0.250 0.250 [4 per cell]
Sn1 0.250 0.250 0.750 [4 per cell]



## BiPtSCl2 (PBE-GGA)

Data for a geometry-optimized BiPtSCl2 structure.

Density = 5.5 g cm⁻³
Energy above the lowest structure with this stoichiometry = 12.53 kcal/mol of atoms
Formation energy from raw total energies = 2.9 eV per formula unit

abc: 5.277 5.277 5.464
angles: 90.00 90.00 90.00
Space group P4/mmm (No. 123)
Symmetry-distinct sites (fractional):
Bi1 0.000 0.000 0.000 [1 per cell]
Pt1 0.500 0.500 0.500 [1 per cell]
S1 0.000 0.000 0.500 [1 per cell]
Cl1 0.000 0.500 0.000 [2 per cell]



## CeGdCuRh (PBE-GGA)

Data for a geometry-optimized CeGdCuRh structure.

Density = 9.0 g cm⁻³
Calculated formation energy = -1.711 eV per formula unit

abc: 7.000 7.000 7.000
angles: 90.00 90.00 90.00
Space group F-43m (No. 216)
Symmetry-distinct sites (fractional):
Ce1 0.000 0.000 0.000 [4 per cell]
Gd1 0.000 0.000 0.500 [4 per cell]
Cu1 0.250 0.250 0.250 [4 per cell]
Rh1 0.250 0.250 0.750 [4 per cell]



## TiCrGe2B (PBE-GGA)

Data for a geometry-optimized TiCrGe2B structure.

Density = 5.3 g cm⁻³
Calculated formation energy = 3.135 eV per formula unit

abc: 4.539 4.539 3.868
angles: 90.00 90.00 90.00
Space group P4/mmm (No. 123)
Symmetry-distinct sites (fractional):
Ti1 0.000 0.000 0.000 [1 per cell]
Cr1 0.500 0.500 0.500 [1 per cell]
Ge1 0.000 0.500 0.500 [2 per cell]
B1 0.500 0.500 0.000 [1 per cell]



## SmHo2CdN (PBE-GGA)

Data for a geometry-optimized SmHo2CdN structure.

Density = 8.8 g cm⁻³
Formation energy from raw total energies = -4.1 eV per formula unit

abc: 4.800 4.800 4.973
angles: 90.00 90.00 90.00
Space group P4/mmm (No. 123)
Symmetry-distinct sites (fractional):
Sm1 0.000 0.000 0.000 [1 per cell]
Ho1 0.000 0.500 0.500 [2 per cell]
Cd1 0.500 0.500 0.000 [1 per cell]
N1 0.000 0.000 0.500 [1 per cell]



## CaSb (PBE-GGA)

Data for a geometry-optimized CaSb structure.

Density = 4.3 g cm⁻³
Formation energy from raw total energies = -1.3 eV per formula unit

abc: 4.0036 4.0036 4.5254
angles: 90.00 90.00 120.00
Space group P-6m2 (No. 187)
Symmetry-distinct sites (fractional):
Ca1 0.0000 0.0000 0.0000 [1 per cell]
Sb1 0.6667 0.3333 0.5000 [1 per cell]



## MgAlAu5 (PBE-GGA)

Data for a geometry-optimized MgAlAu5 structure.

Density = 13.0 g cm⁻³
Energy above the lowest structure with this stoichiometry = 1.13 kcal/mol of atoms
Calculated formation energy = -1.969 eV per formula unit

abc: 5.606 8.035 5.889
angles: 90.00 90.00 90.00
Space group Cmmm (No. 65)
Symmetry-distinct sites (fractional):
Mg1 0.000 0.000 0.000 [2 per cell]
Al1 0.000 0.500 0.500 [2 per cell]
Au1 0.000 0.000 0.500 [2 per cell]
Au2 0.250 0.250 0.241 [8 per cell]



## SrTe2As2 (PBE-GGA)

Data for a geometry-optimized SrTe2As2 structure.

Density = 5.7 g cm⁻³
Energy above the lowest structure with this stoichiometry = 3.31 kcal/mol of atoms
Formation energy from raw total energies = -1.4 eV per formula unit

abc: 4.058 4.058 17.393
angles: 90.00 90.00 90.00
Space group I4/mmm (No. 139)
Symmetry-distinct sites (fractional):
Sr1 0.000 0.000 0.000 [2 per cell]
Te1 0.000 0.000 0.397 [4 per cell]
As1 0.000 0.500 0.250 [4 per cell]



## Ce4Cu (PBE-GGA)

Data for a geometry-optimized Ce4Cu structure.

Density = 6.5 g cm⁻³
Calculated formation energy = 1.972 eV per formula unit

abc: 5.427 5.427 5.427
angles: 90.00 90.00 90.00
Space group Pm-3m (No. 221)
Symmetry-distinct sites (fractional):
Ce1 0.000 0.000 0.000 [1 per cell]
Ce2 0.000 0.500 0.500 [3 per cell]
Cu1 0.500 0.500 0.500 [1 per cell]



## TlCo2Cu (PBE-GGA)

Data for a geometry-optimized TlCo2Cu structure.

Density = 11.4 g cm⁻³
Energy above the lowest structure with this stoichiometry = 2.18 kcal/mol of atoms
Calculated formation energy = 1.862 eV per formula unit

abc: 3.828 3.828 7.672
angles: 90.00 90.00 90.00
Space group I4/mmm (No. 139)
Symmetry-distinct sites (fractional):
Tl1 0.000 0.000 0.000 [2 per cell]
Co1 0.000 0.500 0.250 [4 per cell]
Cu1 0.000 0.000 0.500 [2 per cell]



## Ca2NiPt (PBE-GGA)

Data for a geometry-optimized Ca2NiPt structure.

Density = 7.1 g cm⁻³
Calculated formation energy = -0.876 eV per formula unit

abc: 6.795 6.795 6.795
angles: 90.00 90.00 90.00
Space group F-43m (No. 216)
Symmetry-distinct sites (fractional):
Ca1 0.000 0.000 0.000 [4 per cell]
Ca2 0.250 0.250 0.250 [4 per cell]
Ni1 0.000 0.000 0.500 [4 per cell]
Pt1 0.250 0.250 0.750 [4 per cell]



## GaMoPd6 (PBE-GGA)

Data for a geometry-optimized GaMoPd6 structure.

Density = 11.0 g cm⁻³
Calculated formation energy = -2.040 eV per formula unit

abc: 3.926 3.926 7.888
angles: 90.00 90.00 90.00
Space group P4/mmm (No. 123)
Symmetry-distinct sites (fractional):
Ga1 0.000 0.000 0.000 [1 per cell]
Mo1 0.000 0.000 0.500 [1 per cell]
Pd1 0.000 0.500 0.254 [4 per cell]
Pd2 0.500 0.500 0.000 [1 per cell]
Pd3 0.500 0.500 0.500 [1 per cell]



## Y3Sc2 (PBE-GGA)

Data for a geometry-optimized Y3Sc2 structure.

Density = 4.1 g cm⁻³
Energy above the lowest structure with this stoichiometry = 0.00 kcal/mol of atoms
Calculated formation energy = 0.123 eV per formula unit

abc: 11.495 6.073 8.912
angles: 90.00 110.00 90.00
Space group C2/c (No. 15)
Symmetry-distinct sites (fractional):
Y1 0.000 0.179 0.250 [4 per cell]
Y2 0.193 0.167 0.649 [8 per cell]
Sc1 0.102 0.335 0.951 [8 per cell]



## Cr2Ge2Pt (PBE-GGA)

Data for a geometry-optimized Cr2Ge2Pt structure.

Density = 10.3 g cm⁻³
Energy above the lowest structure with this stoichiometry = 0.00 kcal/mol of atoms
Calculated formation energy = 0.335 eV per formula unit

abc: 7.092 7.092 2.838
angles: 90.00 90.00 90.00
Space group P4/mbm (No. 127)
Symmetry-distinct sites (fractional):
Cr1 0.111 0.389 0.000 [4 per cell]
Ge1 0.179 0.679 0.500 [4 per cell]
Pt1 0.000 0.000 0.500 [2 per cell]



## Li2In2Pt (PBE-GGA)

Data for a geometry-optimized Li2In2Pt structure.

Density = 8.2 g cm⁻³
Calculated formation energy = -2.593 eV per formula unit

abc: 7.976 4.591 5.528
angles: 90.00 119.07 90.00
Space group C2/m (No. 12)
Symmetry-distinct sites (fractional):
Li1 0.191 0.000 0.072 [4 per cell]
In1 0.104 0.500 0.312 [4 per cell]
Pt1 0.000 0.000 0.500 [2 per cell]



## LiPdCl2 (PBE-GGA)

Data for a geometry-optimized LiPdCl2 structure.

Density = 4.3 g cm⁻³
Energy above the lowest structure with this stoichiometry = 6.20 kcal/mol of atoms
Formation energy from raw total energies = -2.3 eV per formula unit

abc: 6.571 6.571 6.571
angles: 90.00 90.00 90.00
Space group Fm-3m (No. 225)
Symmetry-distinct sites (fractional):
Li1 0.000 0.000 0.000 [4 per cell]
Pd1 0.000 0.000 0.500 [4 per cell]
Cl1 0.250 0.250 0.250 [8 per cell]



## AcDy2Y6Tm3 (PBE-GGA)

Data for a geometry-optimized AcDy2Y6Tm3 structure.

Density = 6.8 g cm⁻³
Calculated formation energy = 0.446 eV per formula unit

abc: 6.209 10.746 11.857
angles: 90.00 100.03 90.00
Space group C2/m (No. 12)
Symmetry-distinct sites (fractional):
Ac1 0.000 0.000 0.000 [2 per cell]
Dy1 0.000 0.333 0.000 [4 per cell]
Y1 0.246 0.332 0.744 [8 per cell]
Y2 0.250 0.000 0.744 [4 per cell]
Tm1 0.000 0.167 0.500 [4 per cell]
Tm2 0.000 0.500 0.500 [2 per cell]



## VMoIr2 (PBE-GGA)

Data for a geometry-optimized VMoIr2 structure.

Density = 14.7 g cm⁻³
Energy above the lowest structure with this stoichiometry = 10.75 kcal/mol of atoms
Calculated formation energy = 0.324 eV per formula unit

abc: 6.217 6.217 6.217
angles: 90.00 90.00 90.00
Space group Fm-3m (No. 225)
Symmetry-distinct sites (fractional):
V1 0.000 0.000 0.000 [4 per cell]
Mo1 0.000 0.000 0.500 [4 per cell]
Ir1 0.250 0.250 0.250 [8 per cell]



## PuZrN2 (PBE-GGA)

Data for a geometry-optimized PuZrN2 structure.

Density = 11.2 g cm⁻³
Formation energy from raw total energies = -5.9 eV per formula unit

abc: 3.3184 3.3184 11.3387
angles: 90.00 90.00 120.00
Space group P6_3/mmc (No. 194)
Symmetry-distinct sites (fractional):
Pu1 0.3333 0.6667 0.2500 [2 per cell]
Zr1 0.0000 0.0000 0.0000 [2 per cell]
N1 0.3333 0.6667 0.6141 [4 per cell]



## ZrMn2Ni2 (PBE-GGA)

Data for a geometry-optimized ZrMn2Ni2 structure.

Density = 7.5 g cm⁻³
Energy above the lowest structure with this stoichiometry = 0.00 kcal/mol of atoms
Calculated formation energy = -0.215 eV per formula unit

abc: 7.088 7.088 2.826
angles: 90.00 90.00 90.00
Space group P4/mbm (No. 127)
Symmetry-distinct sites (fractional):
Zr1 0.000 0.000 0.000 [2 per cell]
Mn1 0.158 0.342 0.500 [4 per cell]
Ni1 0.132 0.632 0.000 [4 per cell]



## Ac8AgPd5 (PBE-GGA)

Data for a geometry-optimized Ac8AgPd5 structure.

Density = 9.2 g cm⁻³
Calculated formation energy = -8.299 eV per formula unit

abc: 9.673 9.673 9.509
angles: 90.00 90.00 90.00
Space group I-4 (No. 82)
Symmetry-distinct sites (fractional):
Ac1 0.057 0.198 0.321 [8 per cell]
Ac2 0.058 0.315 0.927 [8 per cell]
Ag1 0.000 0.000 0.000 [2 per cell]
Pd1 0.000 0.500 0.250 [2 per cell]
Pd2 0.134 0.249 0.626 [8 per cell]